Here is a relaxed Pr2PuZrAs4 crystal from Alexandria. Energies are from PBE.

Values from the calculation:
Theoretical density (g cm⁻³): 7.56
Energy of formation from the pure elements (kJ/mol of atoms): -123.8

Geometry as CIF:
```
data_Pr2PuZrAs4
_symmetry_space_group_name_H-M 'P 1 2/m 1'
_symmetry_Int_Tables_number 10
_cell_length_a 7.158
_cell_length_b 4.141
_cell_length_c 7.193
_cell_angle_alpha 90.00
_cell_angle_beta 109.20
_cell_angle_gamma 90.00
loop_
_symmetry_equiv_pos_as_xyz
'x,y,z'
'-x,-y,-z'
'-x,y,-z'
'x,-y,z'
loop_
_atom_site_label
_atom_site_fract_x
_atom_site_fract_y
_atom_site_fract_z
_atom_site_occupancy
Pr1 0.000 0.000 0.000 1
Pr2 0.500 0.500 0.000 1
Pu1 0.000 0.500 0.500 1
Zr1 0.500 0.000 0.500 1
As1 0.251 0.000 0.731 1
As2 0.264 0.500 0.273 1
```

=====

Here is a relaxed Rb2PrAsS4 crystal from Alexandria. Energies are from PBE.

Values from the calculation:
E_form (uncorrected) (eV/atom): -1.064
Theoretical density (g cm⁻³): 3.89

Geometry as CIF:
```
data_Rb2PrAsS4
_symmetry_space_group_name_H-M 'I m m a'
_symmetry_Int_Tables_number 74
_symmetry_space_group_name_Hall '-I 2b 2'
_cell_length_a 8.406
_cell_length_b 8.668
_cell_length_c 12.064
_cell_angle_alpha 90.00
_cell_angle_beta 90.00
_cell_angle_gamma 90.00
loop_
_atom_site_label
_atom_site_fract_x
_atom_site_fract_y
_atom_site_fract_z
_atom_site_occupancy
Rb1 0.000 0.000 0.000 1
Rb2 0.250 0.250 0.250 1
Pr1 0.000 0.000 0.500 1
As1 0.250 0.250 0.750 1
S1 0.000 0.048 0.738 1
S2 0.223 0.250 0.526 1
```

=====

Here is a relaxed Rb2PrAs2S6 crystal from Alexandria. Energies are from PBE.

Values from the calculation:
E_form (uncorrected) (eV/atom): -0.830
Theoretical density (g cm⁻³): 3.22

Geometry as CIF:
```
data_Rb2PrAs2S6
_symmetry_space_group_name_H-M 'C 1 2/m 1'
_symmetry_Int_Tables_number 12
_cell_length_a 12.279
_cell_length_b 7.247
_cell_length_c 8.652
_cell_angle_alpha 90.00
_cell_angle_beta 118.76
_cell_angle_gamma 90.00
loop_
_symmetry_equiv_pos_as_xyz
'x,y,z'
'-x,-y,-z'
'-x,y,-z'
'x,-y,z'
'x+1/2,y+1/2,z'
'-x+1/2,-y+1/2,-z'
'-x+1/2,y+1/2,-z'
'x+1/2,-y+1/2,z'
loop_
_atom_site_label
_atom_site_fract_x
_atom_site_fract_y
_atom_site_fract_z
_atom_site_occupancy
Rb1 0.204 0.000 0.187 1
Pr1 0.000 0.000 0.500 1
As1 0.045 0.500 0.187 1
S1 0.051 0.250 0.787 1
S2 0.246 0.500 0.393 1
```

=====

Here is a relaxed Rb2PrAsSe4 crystal from Alexandria. Energies are from PBE.

Values from the calculation:
E_form (uncorrected) (eV/atom): -1.039
Theoretical density (g cm⁻³): 4.70

Geometry as CIF:
```
data_Rb2PrAsSe4
_symmetry_space_group_name_H-M 'I m m a'
_symmetry_Int_Tables_number 74
_symmetry_space_group_name_Hall '-I 2b 2'
_cell_length_a 8.766
_cell_length_b 9.006
_cell_length_c 12.572
_cell_angle_alpha 90.00
_cell_angle_beta 90.00
_cell_angle_gamma 90.00
loop_
_atom_site_label
_atom_site_fract_x
_atom_site_fract_y
_atom_site_fract_z
_atom_site_occupancy
Rb1 0.000 0.000 0.000 1
Rb2 0.250 0.250 0.250 1
Pr1 0.000 0.000 0.500 1
As1 0.250 0.250 0.750 1
Se1 0.000 0.047 0.739 1
Se2 0.225 0.250 0.525 1
```

=====

Here is a relaxed Pr3As4Rh4 crystal from Alexandria. Energies are from PBE.

Values from the calculation:
Theoretical density (g cm⁻³): 8.23
Energy relative to the lowest polymorph listed for this composition (kJ per mole of atoms): 11.9
Energy of formation from the pure elements (kJ/mol of atoms): -87.9

Geometry as CIF:
```
data_Pr3As4Rh4
_symmetry_space_group_name_H-M 'I m m m'
_symmetry_Int_Tables_number 71
_symmetry_space_group_name_Hall '-I 2 2'
_cell_length_a 4.269
_cell_length_b 4.402
_cell_length_c 24.346
_cell_angle_alpha 90.00
_cell_angle_beta 90.00
_cell_angle_gamma 90.00
loop_
_atom_site_label
_atom_site_fract_x
_atom_site_fract_y
_atom_site_fract_z
_atom_site_occupancy
Pr1 0.000 0.000 0.000 1
Pr2 0.000 0.500 0.148 1
As1 0.000 0.000 0.252 1
As2 0.000 0.500 0.401 1
Rh1 0.000 0.000 0.446 1
Rh2 0.000 0.500 0.300 1
```

=====

Here is a relaxed PrAs2Rh4 crystal from Alexandria. Energies are from PBE.

Values from the calculation:
Theoretical density (g cm⁻³): 9.80
Energy of formation from the pure elements (kJ/mol of atoms): -68.2

Geometry as CIF:
```
data_PrAs2Rh4
_symmetry_space_group_name_H-M 'P 42/m n m'
_symmetry_Int_Tables_number 136
_symmetry_space_group_name_Hall '-P 4n 2n'
_cell_length_a 7.813
_cell_length_b 7.813
_cell_length_c 3.898
_cell_angle_alpha 90.00
_cell_angle_beta 90.00
_cell_angle_gamma 90.00
loop_
_atom_site_label
_atom_site_fract_x
_atom_site_fract_y
_atom_site_fract_z
_atom_site_occupancy
Pr1 0.000 0.000 0.000 1
As1 0.227 0.227 0.500 1
Rh1 0.078 0.665 0.500 1
```

=====

Here is a relaxed PrAs2Rh2 crystal from Alexandria. Energies are from PBE.

Values from the calculation:
Theoretical density (g cm⁻³): 8.84
Energy of formation from the pure elements (kJ/mol of atoms): -90.0

Geometry as CIF:
```
data_PrAs2Rh2
_symmetry_space_group_name_H-M 'P 4/n m m'
_symmetry_Int_Tables_number 129
_cell_length_a 4.309
_cell_length_b 4.309
_cell_length_c 10.051
_cell_angle_alpha 90.00
_cell_angle_beta 90.00
_cell_angle_gamma 90.00
loop_
_symmetry_equiv_pos_as_xyz
'x,y,z'
'-x,-y,-z'
'-y+1/2,x,z'
'y+1/2,-x,-z'
'-x+1/2,-y+1/2,z'
'x+1/2,y+1/2,-z'
'y,-x+1/2,z'
'-y,x+1/2,-z'
'x+1/2,-y,-z'
'-x+1/2,y,z'
'-y,-x,-z'
'y,x,z'
'-x,y+1/2,-z'
'x,-y+1/2,z'
'y+1/2,x+1/2,-z'
'-y+1/2,-x+1/2,z'
loop_
_atom_site_label
_atom_site_fract_x
_atom_site_fract_y
_atom_site_fract_z
_atom_site_occupancy
Pr1 0.250 0.250 0.247 1
As1 0.250 0.250 0.636 1
As2 0.250 0.750 0.000 1
Rh1 0.250 0.250 0.879 1
Rh2 0.250 0.750 0.500 1
```

=====

Here is a relaxed Pr3As4Rh7 crystal from Alexandria. Energies are from PBE.

Values from the calculation:
Theoretical density (g cm⁻³): 9.47
Energy of formation from the pure elements (kJ/mol of atoms): -82.2

Geometry as CIF:
```
data_Pr3As4Rh7
_symmetry_space_group_name_H-M 'C 1 2/m 1'
_symmetry_Int_Tables_number 12
_cell_length_a 15.661
_cell_length_b 4.130
_cell_length_c 9.597
_cell_angle_alpha 90.00
_cell_angle_beta 125.36
_cell_angle_gamma 90.00
loop_
_symmetry_equiv_pos_as_xyz
'x,y,z'
'-x,-y,-z'
'-x,y,-z'
'x,-y,z'
'x+1/2,y+1/2,z'
'-x+1/2,-y+1/2,-z'
'-x+1/2,y+1/2,-z'
'x+1/2,-y+1/2,z'
loop_
_atom_site_label
_atom_site_fract_x
_atom_site_fract_y
_atom_site_fract_z
_atom_site_occupancy
Pr1 0.000 0.000 0.000 1
Pr2 0.170 0.500 0.666 1
As1 0.110 0.000 0.831 1
As2 0.165 0.500 0.274 1
Rh1 0.000 0.000 0.500 1
Rh2 0.007 0.500 0.278 1
Rh3 0.167 0.000 0.424 1
Rh4 0.197 0.500 0.040 1
```

=====

| no. | magnetic moment (μB per cell) |
| --- | --- |
| 1 | 5.2 |
| 2 | 0.0 |
| 3 | 0.0 |
| 4 | 0.0 |
| 5 | 0.0 |
| 6 | 0.0 |
| 7 | 0.0 |
| 8 | 0.0 |